Entry 1:
First-principles (PBE) data for a relaxed Sm4BCCl2 crystal, as listed in Alexandria via LeMat-Bulk.

a b c (Å): 6.6478 3.8341 7.2911
angles (deg): 90.00 107.83 90.00
Fractional positions:
Sm 0.2267 0.0000 0.1940
Sm 0.2612 0.5000 0.8004
Sm 0.7388 0.5000 0.1996
Sm 0.7733 0.0000 0.8060
B 0.5000 0.0000 0.0000
C 0.0000 0.5000 0.0000
Cl 0.0000 0.0000 0.5000
Cl 0.5000 0.5000 0.5000


Entry 2:
First-principles (PBE) data for a relaxed Re2Sb crystal, as listed in Alexandria via LeMat-Bulk.

Energy above the lowest structure with this stoichiometry: 0.264 eV/atom

a b c (Å): 2.9691 2.9691 6.7606
angles (deg): 90.00 90.00 120.00
Fractional positions:
Re 0.3333 0.6667 0.3522
Re 0.6667 0.3333 0.6478
Sb 0.0000 0.0000 0.0000


Entry 3:
First-principles (PBE) data for a relaxed LiAc2In4 crystal, as listed in Alexandria via LeMat-Bulk.

Energy above the lowest structure with this stoichiometry: 0.126 eV/atom

a b c (Å): 9.2986 9.2986 4.7638
angles (deg): 90.00 90.00 143.03
Fractional positions:
Li 0.0000 0.0000 0.0000
Ac 0.3255 0.6745 0.5000
Ac 0.6745 0.3255 0.5000
In 0.0834 0.9166 0.5000
In 0.1822 0.8178 0.0000
In 0.8178 0.1822 0.0000
In 0.9166 0.0834 0.5000


Entry 4:
First-principles (PBE) data for a relaxed MnZnAg crystal, as listed in Alexandria via LeMat-Bulk.

Energy above the lowest structure with this stoichiometry: 0.098 eV/atom

a b c (Å): 6.0668 6.0668 6.0668
angles (deg): 152.93 152.93 38.66
Fractional positions:
Mn 0.0000 0.0000 0.0000
Zn 0.6498 0.6498 0.0000
Ag 0.3237 0.3237 0.0000


Entry 5:
First-principles (PBE) data for a relaxed YPaPb2O6 crystal, as listed in Alexandria via LeMat-Bulk.

a b c (Å): 6.0376 6.1891 10.5445
angles (deg): 90.00 124.81 90.00
Fractional positions:
Y 0.0000 0.0000 0.0000
Y 0.0000 0.5000 0.5000
Pa 0.5000 0.0000 0.5000
Pa 0.5000 0.5000 0.0000
Pb 0.2416 0.0284 0.7483
Pb 0.2416 0.4716 0.2483
Pb 0.7584 0.5284 0.7517
Pb 0.7584 0.9716 0.2517
O 0.1527 0.1913 0.4525
O 0.1527 0.3087 0.9525
O 0.2588 0.7055 0.4483
O 0.2588 0.7945 0.9483
O 0.3553 0.0262 0.2557
O 0.3553 0.4738 0.7557
O 0.6447 0.5262 0.2443
O 0.6447 0.9738 0.7443
O 0.7412 0.2055 0.0517
O 0.7412 0.2945 0.5517
O 0.8473 0.6913 0.0475
O 0.8473 0.8087 0.5475


Entry 6:
First-principles (PBE) data for a relaxed Sr3Hg7Au2 crystal, as listed in Alexandria via LeMat-Bulk.

a b c (Å): 4.7911 4.5970 15.6098
angles (deg): 90.00 98.07 90.00
Fractional positions:
Sr 0.0000 0.0000 0.0000
Sr 0.3344 0.5000 0.6559
Sr 0.6656 0.5000 0.3441
Hg 0.0740 0.5000 0.1586
Hg 0.2275 0.0000 0.4507
Hg 0.4288 0.0000 0.8427
Hg 0.5000 0.5000 0.0000
Hg 0.5712 0.0000 0.1573
Hg 0.7725 0.0000 0.5493
Hg 0.9260 0.5000 0.8414
Au 0.1207 0.0000 0.2728
Au 0.8793 0.0000 0.7272


Entry 7:
First-principles (PBE) data for a relaxed NaTeSe2 crystal, as listed in Alexandria via LeMat-Bulk.

a b c (Å): 8.6728 8.6728 8.6728
angles (deg): 29.73 29.73 29.73
Fractional positions:
Na 0.0000 0.0000 0.0000
Te 0.5000 0.5000 0.5000
Se 0.1111 0.1111 0.1111
Se 0.8889 0.8889 0.8889


Entry 8:
First-principles (PBE) data for a relaxed LaSe2F crystal, as listed in Alexandria via LeMat-Bulk.

Energy above the lowest structure with this stoichiometry: 0.021 eV/atom

a b c (Å): 4.2406 6.4073 7.6115
angles (deg): 105.55 90.37 105.99
Fractional positions:
La 0.0000 0.0000 0.0000
La 0.3103 0.6113 0.5561
Se 0.0937 0.4978 0.9280
Se 0.3958 0.7857 0.1984
Se 0.6352 0.2339 0.5477
Se 0.7028 0.3527 0.2716
F 0.4801 0.9724 0.8446
F 0.8912 0.7943 0.6613


Entry 9:
First-principles (PBE) data for a relaxed OsSN2O crystal, as listed in Alexandria via LeMat-Bulk.

a b c (Å): 3.6556 3.6556 3.4989
angles (deg): 90.00 90.00 90.00
Fractional positions:
Os 0.0000 0.0000 0.0000
S 0.5000 0.5000 0.5000
N 0.0000 0.5000 0.5000
N 0.5000 0.0000 0.5000
O 0.5000 0.5000 0.0000


Entry 10:
First-principles (PBE) data for a relaxed LiCeTiOs crystal, as listed in Alexandria via LeMat-Bulk.

a b c (Å): 4.6863 4.6863 4.6863
angles (deg): 60.00 60.00 60.00
Fractional positions:
Li 0.0000 0.0000 0.0000
Ce 0.7500 0.7500 0.7500
Ti 0.2500 0.2500 0.2500
Os 0.5000 0.5000 0.5000


Entry 11:
First-principles (PBE) data for a relaxed CaCu2SBr crystal, as listed in Alexandria via LeMat-Bulk.

a b c (Å): 4.2596 4.2596 7.1970
angles (deg): 90.00 90.00 90.00
Fractional positions:
Ca 0.0000 0.0000 0.0000
Cu 0.0000 0.5000 0.5000
Cu 0.5000 0.0000 0.5000
S 0.5000 0.5000 0.5000
Br 0.5000 0.5000 0.0000


Entry 12:
First-principles (PBE) data for a relaxed Ba2DyNpN4 crystal, as listed in Alexandria via LeMat-Bulk.

a b c (Å): 6.1040 3.6168 6.7350
angles (deg): 90.00 107.77 90.00
Fractional positions:
Ba 0.0000 0.0000 0.0000
Ba 0.5000 0.5000 0.0000
Dy 0.0000 0.5000 0.5000
Np 0.5000 0.0000 0.5000
N 0.2628 0.0000 0.6742
N 0.2926 0.5000 0.3227
N 0.7074 0.5000 0.6773
N 0.7372 0.0000 0.3258


Entry 13:
First-principles (PBE) data for a relaxed LaBi2Pb crystal, as listed in Alexandria via LeMat-Bulk.

a b c (Å): 8.8796 8.8796 8.8796
angles (deg): 130.92 130.92 71.94
Fractional positions:
La 0.0000 0.0000 0.0000
La 0.7500 0.2500 0.5000
Bi 0.1381 0.6250 0.0131
Bi 0.3750 0.3881 0.5131
Bi 0.6119 0.1250 0.9869
Bi 0.8750 0.8619 0.4869
Pb 0.2500 0.7500 0.5000
Pb 0.5000 0.5000 0.0000


Entry 14:
First-principles (PBE) data for a relaxed Ce6ZnRu3 crystal, as listed in Alexandria via LeMat-Bulk.

a b c (Å): 8.6881 8.6881 6.7790
angles (deg): 90.00 90.00 103.09
Fractional positions:
Ce 0.0101 0.9899 0.5000
Ce 0.1133 0.5055 0.5104
Ce 0.2376 0.7624 0.7643
Ce 0.2653 0.4079 0.9785
Ce 0.4079 0.2653 0.4785
Ce 0.4945 0.8867 0.5104
Ce 0.5055 0.1133 0.0104
Ce 0.5921 0.7347 0.9785
Ce 0.7347 0.5921 0.4785
Ce 0.7624 0.2376 0.2643
Ce 0.8867 0.4945 0.0104
Ce 0.9899 0.0101 0.0000
Zn 0.2112 0.7888 0.2246
Zn 0.7888 0.2112 0.7246
Ru 0.0916 0.2644 0.2376
Ru 0.2644 0.0916 0.7376
Ru 0.4465 0.5535 0.6981
Ru 0.5535 0.4465 0.1981
Ru 0.7356 0.9084 0.2376
Ru 0.9084 0.7356 0.7376


Entry 15:
First-principles (PBE) data for a relaxed Pr4AsSeI2 crystal, as listed in Alexandria via LeMat-Bulk.

a b c (Å): 7.5325 4.3843 8.0683
angles (deg): 90.00 108.35 90.00
Fractional positions:
Pr 0.2303 0.0000 0.1935
Pr 0.2690 0.5000 0.8076
Pr 0.7310 0.5000 0.1924
Pr 0.7697 0.0000 0.8065
As 0.0000 0.5000 0.0000
Se 0.5000 0.0000 0.0000
I 0.0000 0.0000 0.5000
I 0.5000 0.5000 0.5000


Entry 16:
First-principles (PBE) data for a relaxed FeIr2W crystal, as listed in Alexandria via LeMat-Bulk.

Energy above the lowest structure with this stoichiometry: 1.179 eV/atom

a b c (Å): 6.8632 6.8632 6.8632
angles (deg): 134.66 134.66 66.06
Fractional positions:
Fe 0.0000 0.0000 0.0000
Fe 0.7500 0.2500 0.5000
Ir 0.0936 0.6250 0.9686
Ir 0.3750 0.3436 0.4686
Ir 0.6564 0.1250 0.0314
Ir 0.8750 0.9064 0.5314
W 0.2500 0.7500 0.5000
W 0.5000 0.5000 0.0000


Entry 17:
First-principles (PBE) data for a relaxed NbSb2Pb2 crystal, as listed in Alexandria via LeMat-Bulk.

a b c (Å): 7.3897 7.3897 5.1857
angles (deg): 90.00 90.00 90.00
Fractional positions:
Nb 0.0000 0.0000 0.0000
Nb 0.5000 0.5000 0.0000
Sb 0.1510 0.3490 0.0000
Sb 0.3490 0.8490 0.0000
Sb 0.6510 0.1510 0.0000
Sb 0.8490 0.6510 0.0000
Pb 0.1673 0.6673 0.5000
Pb 0.3327 0.1673 0.5000
Pb 0.6673 0.8327 0.5000
Pb 0.8327 0.3327 0.5000


Entry 18:
First-principles (PBE) data for a relaxed K17In12 crystal, as listed in Alexandria via LeMat-Bulk.

a b c (Å): 11.4142 11.4142 11.4142
angles (deg): 109.47 109.47 109.47
Fractional positions:
K 0.0000 0.0000 0.0000
K 0.0000 0.0000 0.6664
K 0.0000 0.4234 0.6954
K 0.0000 0.6664 0.0000
K 0.0000 0.6954 0.4234
K 0.2721 0.5766 0.5766
K 0.3046 0.3046 0.7279
K 0.3046 0.7279 0.3046
K 0.3336 0.3336 0.3336
K 0.4234 0.0000 0.6954
K 0.4234 0.6954 0.0000
K 0.5766 0.2721 0.5766
K 0.5766 0.5766 0.2721
K 0.6664 0.0000 0.0000
K 0.6954 0.0000 0.4234
K 0.6954 0.4234 0.0000
K 0.7279 0.3046 0.3046
In 0.0000 0.1688 0.3611
In 0.0000 0.3611 0.1688
In 0.1688 0.0000 0.3611
In 0.1688 0.3611 0.0000
In 0.1922 0.8312 0.8312
In 0.3611 0.0000 0.1688
In 0.3611 0.1688 0.0000
In 0.6389 0.6389 0.8078
In 0.6389 0.8078 0.6389
In 0.8078 0.6389 0.6389
In 0.8312 0.1922 0.8312
In 0.8312 0.8312 0.1922


Entry 19:
First-principles (PBE) data for a relaxed LiAg2 crystal, as listed in Alexandria via LeMat-Bulk.

Energy above the lowest structure with this stoichiometry: 0.008 eV/atom

a b c (Å): 7.7134 7.7134 2.9080
angles (deg): 90.00 90.00 120.00
Fractional positions:
Li 0.0000 0.0000 0.0000
Li 0.3333 0.6667 0.5000
Li 0.6667 0.3333 0.5000
Ag 0.0000 0.3072 0.5000
Ag 0.0000 0.6428 0.0000
Ag 0.3072 0.0000 0.5000
Ag 0.3572 0.3572 0.0000
Ag 0.6428 0.0000 0.0000
Ag 0.6928 0.6928 0.5000


Entry 20:
First-principles (PBE) data for a relaxed PuMo2C crystal, as listed in Alexandria via LeMat-Bulk.

a b c (Å): 7.9804 7.9804 7.9804
angles (deg): 22.51 22.51 22.51
Fractional positions:
Pu 0.0000 0.0000 0.0000
Mo 0.1174 0.1174 0.1174
Mo 0.8826 0.8826 0.8826
C 0.5000 0.5000 0.5000


Entry 21:
First-principles (PBE) data for a relaxed TiAgSn2 crystal, as listed in Alexandria via LeMat-Bulk.

Energy above the lowest structure with this stoichiometry: 0.187 eV/atom

a b c (Å): 4.9462 4.9462 4.9462
angles (deg): 60.00 60.00 60.00
Fractional positions:
Ti 0.0000 0.0000 0.0000
Ag 0.5000 0.5000 0.5000
Sn 0.2500 0.2500 0.2500
Sn 0.7500 0.7500 0.7500


Entry 22:
First-principles (PBE) data for a relaxed MnFe2Co crystal, as listed in Alexandria via LeMat-Bulk.

a b c (Å): 4.3415 4.3415 4.3199
angles (deg): 99.64 99.64 33.41
Fractional positions:
Mn 0.0000 0.0000 0.0000
Fe 0.2494 0.2494 0.7488
Fe 0.7506 0.7506 0.2512
Co 0.5000 0.5000 0.5000


Entry 23:
First-principles (PBE) data for a relaxed Nd3Hg2Au4 crystal, as listed in Alexandria via LeMat-Bulk.

a b c (Å): 6.0649 6.0649 9.1628
angles (deg): 115.06 115.06 46.72
Fractional positions:
Nd 0.0000 0.0000 0.0000
Nd 0.3437 0.3437 0.3187
Nd 0.6563 0.6563 0.6813
Hg 0.3695 0.3695 0.7045
Hg 0.6305 0.6305 0.2955
Au 0.0623 0.0623 0.3975
Au 0.2769 0.2769 0.9432
Au 0.7231 0.7231 0.0568
Au 0.9377 0.9377 0.6025


Entry 24:
First-principles (PBE) data for a relaxed TaRe2P2 crystal, as listed in Alexandria via LeMat-Bulk.

a b c (Å): 5.4290 5.4290 5.4290
angles (deg): 134.37 134.37 66.51
Fractional positions:
Ta 0.0000 0.0000 0.0000
Re 0.3680 0.3680 0.0000
Re 0.6320 0.6320 0.0000
P 0.2500 0.7500 0.5000
P 0.7500 0.2500 0.5000


The following raw total energy values (in eV per cell) correspond, in order, to the records above: -46.171, -27.620, -21.975, -12.889, -158.009, -18.781, -12.101, -45.012, -27.700, -27.080, -17.979, -62.662, -33.477, -132.690, -41.049, -70.734, -49.163, -52.843, -24.225, -43.829, -18.221, -32.826, -33.932, -46.382.